Below is HoSnPtC after structural relaxation, with properties calculated at the PBE level.

The total magnetization is 0.00 μB/cell. The value obtained for the relative energy among the computed polymorphs is 84 meV/atom.

The structure in POSCAR format:
```
HoSnPtC
1.0
4.554 0.000 0.000
-2.277 3.944 0.000
0.000 0.000 7.891
Ho Sn Pt C
2 2 2 2
direct
0.333 0.667 0.185
0.667 0.333 0.815
0.000 0.000 0.000
0.000 0.000 0.500
0.333 0.667 0.615
0.667 0.333 0.385
0.333 0.667 0.874
0.667 0.333 0.126
```